# PBE-GGA Na2NdUO6, optimized geometry
data_Na2NdUO6
_chemical_formula_sum 'Na4 Nd2 U2 O12'
_symmetry_space_group_name_H-M 'P 1'
_symmetry_Int_Tables_number 1
_cell_length_a 5.885
_cell_length_b 6.040
_cell_length_c 8.438
_cell_angle_alpha 90.00
_cell_angle_beta 89.92
_cell_angle_gamma 90.00
loop_
_symmetry_equiv_pos_as_xyz
'x,y,z'
loop_
_atom_site_label
_atom_site_type_symbol
_atom_site_fract_x
_atom_site_fract_y
_atom_site_fract_z
Na1 Na 0.005 0.962 0.253
Na2 Na 0.505 0.538 0.753
Na3 Na 0.995 0.038 0.747
Na4 Na 0.495 0.462 0.247
Nd1 Nd 0.500 0.000 0.000
Nd2 Nd 0.000 0.500 0.500
U1 U 0.500 0.000 0.500
U2 U 0.000 0.500 0.000
O1 O 0.290 0.678 0.051
O2 O 0.790 0.822 0.551
O3 O 0.710 0.322 0.949
O4 O 0.210 0.178 0.449
O5 O 0.328 0.714 0.439
O6 O 0.828 0.786 0.939
O7 O 0.672 0.286 0.561
O8 O 0.172 0.214 0.061
O9 O 0.894 0.551 0.232
O10 O 0.394 0.949 0.732
O11 O 0.106 0.449 0.768
O12 O 0.606 0.051 0.268
# Energy relative to the elements, uncorrected (meV/atom): -2575
# Final energy (hartree per atom): -0.2727
# SG: P2_1/c